[1]
Compound: La2SmPt2
Source: the Alexandria database
Functional: GGA-PBE
Structure: relaxed

Cell lengths 4.1241, 8.0364, 8.0364 Å; angles 90.00, 90.00, 90.00 degrees
Atoms (fractional coordinates):
La 0.5000 0.1633 0.6633
La 0.5000 0.6633 0.8367
La 0.5000 0.8367 0.3367
La 0.5000 0.3367 0.1633
Sm 0.0000 0.0000 0.0000
Sm 0.0000 0.5000 0.5000
Pt 0.0000 0.3623 0.8623
Pt 0.0000 0.8623 0.6377
Pt 0.0000 0.6377 0.1377
Pt 0.0000 0.1377 0.3623

Results
M_tot: 0.0 μB/cell
DFT formation energy: -0.9744 eV/atom
DOS at the Fermi energy: 8.07 states/eV per cell
Volume: 133.2 Å³/f.u.
DFT total energy: -63.1 eV/cell

---

[2]
Compound: AgTeSe2Br
Source: the Alexandria database
Functional: GGA-PBE
Structure: relaxed

Cell lengths 5.3996, 5.3996, 5.5465 Å; angles 90.00, 90.00, 90.00 degrees
Atoms (fractional coordinates):
Te 0.0000 0.0000 0.0000
Se 0.0000 0.5000 0.0000
Se 0.5000 0.0000 0.0000
Br 0.0000 0.0000 0.5000
Ag 0.5000 0.5000 0.5000

Results
M_tot: 0.0 μB/cell
Polymorph energy (0 for the lowest one): 485 meV/atom
DOS at the Fermi energy: 2.89 states/eV per cell
Formation energy (no corrections): 401 meV per atom
Volume: 161.7 Å³/f.u.
DFT total energy: -12.6 eV/cell

---

[3]
Compound: CePmBe
Source: the Alexandria database
Functional: GGA-PBE
Structure: relaxed

Cell lengths 4.6992, 4.7036, 7.9081 Å; angles 107.30, 90.00, 119.97 degrees
Atoms (fractional coordinates):
Be 0.9415 0.8829 0.8251
Be 0.0585 0.1171 0.1749
Ce 0.6386 0.2773 0.9163
Ce 0.3614 0.7227 0.0837
Pm 0.7935 0.5870 0.3796
Pm 0.2065 0.4130 0.6204

Results
M_tot: 0.0 μB/cell
DFT formation energy: 0.1983 eV/atom
DOS at the Fermi energy: 9.24 states/eV per cell
Volume: 71.1 Å³/f.u.
DFT total energy: -27.6 eV/cell

---

[4]
Compound: CeNi2Sn2
Source: the Alexandria database
Functional: GGA-PBE
Structure: relaxed

Cell lengths 6.0708, 6.0708, 6.0708 Å; angles 137.04, 137.04, 62.38 degrees
Site moments in Bohr magnetons follow the coordinates.
Atoms (fractional coordinates):
Ce 0.0000 0.0000 0.0000  0.76
Ni 0.2500 0.7500 0.5000  -0.03
Ni 0.7500 0.2500 0.5000  -0.03
Sn 0.6366 0.6366 0.0000  0.00
Sn 0.3634 0.3634 0.0000  0.00

Results
M_tot: 0.8 μB/cell
DFT formation energy: -0.4315 eV/atom
DOS at the Fermi energy: 8.18 states/eV per cell
Volume: 102.7 Å³/f.u.
DFT total energy: -27.7 eV/cell

---

[5]
Compound: MgSe4Cl
Source: the Alexandria database
Functional: GGA-PBE
Structure: relaxed

Cell lengths 5.7231, 5.7231, 5.7231 Å; angles 60.00, 60.00, 60.00 degrees
Atoms (fractional coordinates):
Mg 0.0000 0.0000 0.0000
Se 0.8737 0.3754 0.3754
Se 0.3754 0.3754 0.8737
Se 0.3754 0.8737 0.3754
Se 0.3754 0.3754 0.3754
Cl 0.7500 0.7500 0.7500

Results
M_tot: 0.0 μB/cell
DOS at the Fermi energy: 8.51 states/eV per cell
Formation energy (no corrections): 120 meV per atom
Volume: 132.5 Å³/f.u.
DFT total energy: -16.7 eV/cell

---

[6]
Compound: HoTlHgTe3
Source: the Alexandria database
Functional: GGA-PBE
Structure: relaxed

Cell lengths 4.4825, 9.3397, 10.5115 Å; angles 106.59, 90.00, 90.00 degrees
Atoms (fractional coordinates):
Ho 0.2500 0.6755 0.1420
Ho 0.7500 0.3245 0.8580
Tl 0.2500 0.2127 0.2333
Tl 0.7500 0.7873 0.7667
Hg 0.2500 0.0893 0.6098
Hg 0.7500 0.9107 0.3902
Te 0.7500 0.9001 0.1188
Te 0.2500 0.0999 0.8812
Te 0.2500 0.7548 0.4625
Te 0.7500 0.2452 0.5375
Te 0.7500 0.4552 0.1593
Te 0.2500 0.5448 0.8407

Results
M_tot: 0.0 μB/cell
Formation energy (no corrections): -701 meV per atom
Volume: 210.9 Å³/f.u.
DFT total energy: -41.8 eV/cell

---

[7]
Compound: GaPtW3
Source: the Alexandria database
Functional: GGA-PBE
Structure: relaxed

Cell lengths 4.7986, 4.7986, 4.7986 Å; angles 90.00, 90.00, 90.00 degrees
Atoms (fractional coordinates):
Ga 0.5000 0.5000 0.5000
W 0.0000 0.5000 0.0000
W 0.0000 0.0000 0.5000
W 0.5000 0.0000 0.0000
Pt 0.0000 0.0000 0.0000

Results
M_tot: 0.0 μB/cell
DFT formation energy: 2.1026 eV/atom
Polymorph energy (0 for the lowest one): 356 meV/atom
DOS at the Fermi energy: 5.63 states/eV per cell
Volume: 110.5 Å³/f.u.
DFT total energy: -37.4 eV/cell

---

[8]
Compound: Cs2KTlAu
Source: the Alexandria database
Functional: GGA-PBE
Structure: relaxed

Cell lengths 6.9856, 6.9856, 5.9027 Å; angles 90.00, 90.00, 90.00 degrees
Atoms (fractional coordinates):
Cs 0.0000 0.5000 0.0000
Cs 0.5000 0.0000 0.0000
Tl 0.0000 0.0000 0.5000
Au 0.0000 0.0000 0.0000
K 0.5000 0.5000 0.5000

Results
M_tot: 0.0 μB/cell
DFT formation energy: -0.0734 eV/atom
Polymorph energy (0 for the lowest one): 0 meV/atom
DOS at the Fermi energy: 2.26 states/eV per cell
Volume: 288.0 Å³/f.u.
DFT total energy: -8.8 eV/cell

---

[9]
Compound: Pr6Sm8Pu
Source: the Alexandria database
Functional: GGA-PBE
Structure: relaxed

Cell lengths 8.3624, 8.3624, 8.3624 Å; angles 72.26, 72.26, 72.26 degrees
Site moments in Bohr magnetons follow the coordinates.
Atoms (fractional coordinates):
Pr 0.1739 0.4463 0.6135  -0.01
Pr 0.3865 0.8262 0.5537  -0.01
Pr 0.5537 0.3865 0.8262  -0.01
Pr 0.4463 0.6135 0.1738  -0.01
Pr 0.6135 0.1739 0.4463  -0.01
Pr 0.8262 0.5537 0.3865  -0.01
Sm 0.1201 0.6483 0.9553  0.06
Sm 0.0447 0.8799 0.3517  0.06
Sm 0.3517 0.0447 0.8799  0.06
Sm 0.7570 0.7570 0.7570  -0.04
Sm 0.2430 0.2430 0.2430  -0.04
Sm 0.6483 0.9553 0.1201  0.06
Sm 0.9553 0.1201 0.6483  0.06
Sm 0.8799 0.3517 0.0447  0.06
Pu 0.0000 0.0000 0.0000  5.61

Results
M_tot: 5.9 μB/cell
DFT formation energy: 0.1303 eV/atom
DOS at the Fermi energy: 22.98 states/eV per cell
Volume: 515.8 Å³/f.u.
DFT total energy: -78.8 eV/cell

---

[10]
Compound: TbPm3Y3
Source: the Alexandria database
Functional: GGA-PBE
Structure: relaxed

Cell lengths 6.2543, 6.2543, 14.8638 Å; angles 77.85, 77.85, 60.00 degrees
Atoms (fractional coordinates):
Tb 0.6667 0.6667 0.0000
Tb 0.3333 0.3333 0.0000
Pm 0.1994 0.8682 0.3950
Pm 0.5374 0.1994 0.3950
Pm 0.8681 0.5374 0.3950
Pm 0.1319 0.4626 0.6050
Pm 0.4626 0.8006 0.6050
Pm 0.8006 0.1318 0.6050
Y 0.9350 0.2679 0.1956
Y 0.6015 0.9350 0.1956
Y 0.2679 0.6015 0.1956
Y 0.7321 0.3985 0.8044
Y 0.3985 0.0650 0.8044
Y 0.0650 0.7321 0.8044

Results
M_tot: 0.0 μB/cell
DFT formation energy: 0.1613 eV/atom
Polymorph energy (0 for the lowest one): 145 meV/atom
DOS at the Fermi energy: 22.18 states/eV per cell
Volume: 244.2 Å³/f.u.
DFT total energy: -74.3 eV/cell

---

[11]
Compound: LaOs2Pb
Source: the Alexandria database
Functional: GGA-PBE
Structure: relaxed

Cell lengths 3.9172, 4.5587, 4.5587 Å; angles 90.00, 90.00, 90.00 degrees
Atoms (fractional coordinates):
La 0.5000 0.0000 0.5000
Os 0.0000 0.0000 0.0000
Os 0.0000 0.5000 0.5000
Pb 0.5000 0.5000 0.0000

Results
M_tot: 0.0 μB/cell
DFT formation energy: 0.5821 eV/atom
DOS at the Fermi energy: 4.03 states/eV per cell
Volume: 81.4 Å³/f.u.
DFT total energy: -28.8 eV/cell

---

[12]
Compound: ScTaF2
Source: the Alexandria database
Functional: GGA-PBE
Structure: relaxed

Cell lengths 5.0823, 5.0823, 6.0516 Å; angles 65.17, 65.17, 90.00 degrees
Atoms (fractional coordinates):
Sc 0.5000 0.5000 0.0000
Sc 0.2500 0.7500 0.5000
F 0.5812 0.1250 0.2500
F 0.1688 0.6250 0.2500
F 0.3750 0.4188 0.7500
F 0.8750 0.8312 0.7500
Ta 0.0000 0.0000 0.0000
Ta 0.7500 0.2500 0.5000

Results
M_tot: 0.0 μB/cell
Polymorph energy (0 for the lowest one): 442 meV/atom
DOS at the Fermi energy: 3.05 states/eV per cell
Formation energy (no corrections): -1287 meV per atom
Volume: 62.9 Å³/f.u.
DFT total energy: -54.1 eV/cell

---

[13]
Compound: TaMnPt
Source: the Alexandria database
Functional: GGA-PBE
Structure: relaxed

Cell lengths 4.3222, 4.3222, 4.3222 Å; angles 60.00, 60.00, 60.00 degrees
Site moments in Bohr magnetons follow the coordinates.
Atoms (fractional coordinates):
Mn 0.5000 0.5000 0.5000  3.75
Pt 0.7500 0.7500 0.7500  0.20
Ta 0.0000 0.0000 0.0000  -0.09

Results
M_tot: 4.1 μB/cell
DFT formation energy: 0.0433 eV/atom
Polymorph energy (0 for the lowest one): 397 meV/atom
DOS at the Fermi energy: 3.05 states/eV per cell
Volume: 57.1 Å³/f.u.
DFT total energy: -26.9 eV/cell

---

[14]
Compound: Co2TeCl
Source: the Alexandria database
Functional: GGA-PBE
Structure: relaxed

Cell lengths 5.4616, 5.4616, 6.7715 Å; angles 66.22, 66.22, 90.00 degrees
Site moments in Bohr magnetons follow the coordinates.
Atoms (fractional coordinates):
Te 0.0000 0.0000 0.0000  0.03
Te 0.7500 0.2500 0.5000  0.04
Co 0.5899 0.1250 0.2500  1.58
Co 0.1601 0.6250 0.2500  1.58
Co 0.3750 0.4101 0.7500  1.61
Co 0.8750 0.8399 0.7500  1.56
Cl 0.5000 0.5000 0.0000  0.11
Cl 0.2500 0.7500 0.5000  0.11

Results
M_tot: 6.9 μB/cell
Polymorph energy (0 for the lowest one): 235 meV/atom
DOS at the Fermi energy: 7.71 states/eV per cell
Formation energy (no corrections): 165 meV per atom
Volume: 83.0 Å³/f.u.
DFT total energy: -37.1 eV/cell

---

[15]
Compound: K2AgIO
Source: the Alexandria database
Functional: GGA-PBE
Structure: relaxed

Cell lengths 4.2141, 8.0908, 9.5644 Å; angles 110.21, 90.00, 90.00 degrees
Atoms (fractional coordinates):
K 0.7500 0.8137 0.6500
K 0.7500 0.8356 0.0271
K 0.2500 0.1863 0.3500
K 0.2500 0.1644 0.9729
Ag 0.2500 0.5467 0.7635
Ag 0.7500 0.4533 0.2365
I 0.2500 0.7142 0.3056
I 0.7500 0.2858 0.6944
O 0.2500 0.8214 0.8317
O 0.7500 0.1786 0.1683

Results
M_tot: 0.1 μB/cell
Polymorph energy (0 for the lowest one): 66 meV/atom
Formation energy (no corrections): -928 meV per atom
Volume: 153.0 Å³/f.u.
DFT total energy: -32.4 eV/cell